## As2WSeBr (PBE-GGA)

Data for crystalline As2WSeBr at its relaxed geometry.

* DOS(E_F): 0.53 states/eV per atom
* offset from the most stable computed form: 0 meV/atom
* M_tot: 0.0000 μB per atom
* formation energy without anion corrections: 0.312 eV/atom
* DFT total energy: -0.37999 Ry/atom

CIF file:
```
data_As2WSeBr
_space_group_name_H-M_alt 'P 4/m m m'
_space_group_IT_number 123
_space_group_name_Hall '-P 4 2'
_cell_length_a 4.985
_cell_length_b 4.985
_cell_length_c 4.816
_cell_angle_alpha 90.00
_cell_angle_beta 90.00
_cell_angle_gamma 90.00
loop_
_atom_site_label
_atom_site_fract_x
_atom_site_fract_y
_atom_site_fract_z
As1 0.000 0.500 0.000
W1 0.000 0.000 0.000
Se1 0.000 0.000 0.500
Br1 0.500 0.500 0.500
```